Entry from Alexandria: NaTcH2 at its PBEsol-relaxed geometry (SCAN).

Output
* total magnetization: 0.0 μB/cell

a = 4.9404 Å, b = 4.9404 Å, c = 6.5308 Å
α = 90.00°, β = 90.00°, γ = 90.00°
Space group I-42d (No. 122)
Unique sites:
Na 0.0000 0.0000 0.0000 [4 per cell]
Tc 0.0000 0.0000 0.5000 [4 per cell]
H 0.1934 0.7500 0.6250 [8 per cell]


Entry from Alexandria: Mn5Ir at its PBEsol-relaxed geometry (SCAN).

Output
* ΔE to the lowest computed polymorph: 9.3 meV/atom
* total magnetization: 1.3 μB/cell
* ΔH_f (0 K): -0.331 eV per formula unit

a = 9.1005 Å, b = 2.5470 Å, c = 5.8767 Å
α = 90.00°, β = 104.24°, γ = 90.00°
Space group Cm (No. 8)
Unique sites:
Mn 0.0000 0.0000 0.0000 [2 per cell]
Mn 0.0529 0.0000 0.5932 [2 per cell]
Mn 0.1607 0.5000 0.3162 [2 per cell]
Mn 0.2146 0.5000 0.9425 [2 per cell]
Mn 0.3858 0.0000 0.2596 [2 per cell]
Ir 0.3319 0.0000 0.6597 [2 per cell]


Listing density of states at the Fermi level for the structures above in their given order: 0.359; 0.898 states/eV per atom.
Listing final energy for the structures above in their given order: -11.27; -27.12 eV per atom.